[1]
Computed, not measured: a relaxed Na2ScNb crystal at the PBE-GGA level of DFT.

Cell lengths 6.581, 6.581, 6.581 Å; angles 99.64, 99.64, 131.69 degrees
Positions (direct):
Na1 0.122 0.625 0.997
Na2 0.375 0.372 0.497
Na3 0.628 0.125 0.003
Na4 0.875 0.878 0.503
Sc1 0.250 0.750 0.500
Sc2 0.500 0.500 0.000
Nb1 0.000 0.000 0.000
Nb2 0.750 0.250 0.500

## Properties
Volume (Å³ per atom): 24.27
ΔE to the lowest computed polymorph (meV/atom): 0
Symmetry: No. 122
Formation energy (meV/atom): 1073

=====

[2]
Computed, not measured: a relaxed SrOsW crystal at the PBE-GGA level of DFT.

Cell lengths 3.015, 3.015, 7.507 Å; angles 90.00, 90.00, 120.00 degrees
Positions (direct):
Sr1 0.000 0.000 0.000
Os1 0.333 0.667 0.640
W1 0.667 0.333 0.380

## Properties
Volume (Å³ per atom): 19.70
ΔE to the lowest computed polymorph (meV/atom): 409
Symmetry: No. 156
Formation energy (meV/atom): 1007

=====

[3]
Computed, not measured: a relaxed AcLaTlIr crystal at the PBE-GGA level of DFT.

Cell lengths 5.442, 5.442, 5.442 Å; angles 60.00, 60.00, 60.00 degrees
Positions (direct):
Ac1 0.000 0.000 0.000
La1 0.500 0.500 0.500
Tl1 0.750 0.750 0.750
Ir1 0.250 0.250 0.250

## Properties
Volume (Å³ per atom): 28.50
ΔE to the lowest computed polymorph (meV/atom): 102
Symmetry: No. 216
Formation energy (meV/atom): -322

=====

[4]
Computed, not measured: a relaxed Ta4AgOs crystal at the PBE-GGA level of DFT.

Cell lengths 5.352, 5.352, 5.352 Å; angles 60.00, 60.00, 60.00 degrees
Positions (direct):
Ta1 0.124 0.124 0.124
Ta2 0.124 0.124 0.628
Ta3 0.124 0.628 0.124
Ta4 0.628 0.124 0.124
Ag1 0.500 0.500 0.500
Os1 0.750 0.750 0.750

## Properties
Volume (Å³ per atom): 18.06
Symmetry: No. 216
Formation energy (meV/atom): 522

=====

[5]
Computed, not measured: a relaxed KLa2SnHg crystal at the PBE-GGA level of DFT.

Cell lengths 6.021, 6.021, 5.441 Å; angles 90.00, 90.00, 90.00 degrees
Positions (direct):
K1 0.000 0.000 0.000
La1 0.000 0.500 0.000
La2 0.500 0.000 0.000
Sn1 0.500 0.500 0.500
Hg1 0.000 0.000 0.500

## Properties
Volume (Å³ per atom): 39.45
Symmetry: No. 123
Formation energy (meV/atom): 795

=====

[6]
Computed, not measured: a relaxed Al2GeO6 crystal at the PBE-GGA level of DFT.

Cell lengths 4.451, 4.451, 8.679 Å; angles 90.00, 90.00, 90.00 degrees
Positions (direct):
Al1 0.000 0.000 0.166
Al2 0.000 0.000 0.834
Al3 0.500 0.500 0.334
Al4 0.500 0.500 0.666
Ge1 0.000 0.000 0.500
Ge2 0.500 0.500 0.000
O1 0.197 0.197 0.000
O2 0.198 0.198 0.333
O3 0.198 0.198 0.667
O4 0.302 0.698 0.167
O5 0.302 0.698 0.833
O6 0.303 0.697 0.500
O7 0.697 0.303 0.500
O8 0.698 0.302 0.167
O9 0.698 0.302 0.833
O10 0.802 0.802 0.333
O11 0.802 0.802 0.667
O12 0.803 0.803 0.000

## Properties
Volume (Å³ per atom): 9.55
Symmetry: No. 136
Formation energy without anion corrections (eV per atom): -2.01

=====

[7]
Computed, not measured: a relaxed NbFeSn2Pb crystal at the PBE-GGA level of DFT.

Cell lengths 5.414, 5.414, 4.722 Å; angles 90.00, 90.00, 90.00 degrees
Positions (direct):
Nb1 0.000 0.000 0.000
Fe1 0.000 0.000 0.500
Sn1 0.000 0.500 0.000
Sn2 0.500 0.000 0.000
Pb1 0.500 0.500 0.500

## Properties
Volume (Å³ per atom): 27.68
Symmetry: No. 123
Formation energy (meV/atom): 721

=====

[8]
Computed, not measured: a relaxed TaCdBSb2 crystal at the PBE-GGA level of DFT.

Cell lengths 4.947, 4.947, 4.243 Å; angles 90.00, 90.00, 90.00 degrees
Positions (direct):
Ta1 0.000 0.000 0.000
Cd1 0.500 0.500 0.000
B1 0.500 0.500 0.500
Sb1 0.000 0.500 0.500
Sb2 0.500 0.000 0.500

## Properties
Volume (Å³ per atom): 20.77
Symmetry: No. 123
Formation energy without anion corrections (eV per atom): 1.08

=====

Question: What is the volume in the fifth record?
Answer: 39.45 Å³ per atom